# 1
The following is a DFT calculation (PBE-GGA) of a relaxed AcTbPr2Tm crystal.

```
AcTbPr2Tm
1.0
6.4711 0.0000 0.0000
0.0000 5.9317 0.0000
-3.1908 0.0000 9.3666
Ac Tb Pr Tm
2 2 4 2
Cartesian
0.5506 1.4829 0.9818 Ac
2.7297 4.4487 8.3848 Ac
2.7481 4.4487 0.9830 Tb
0.5322 1.4829 8.3836 Tb
-0.5117 4.4487 6.5588 Pr
0.5829 1.4829 4.6998 Pr
2.6974 4.4487 4.6668 Pr
3.7920 1.4829 2.8078 Pr
-0.5656 4.4487 2.8797 Tm
3.8459 1.4829 6.4870 Tm
```

Values from the calculation:
Calculated volume: 359.5 Å³ per cell
Symmetry: P2_1/m, No. 11
E: -4.5086 eV per atom


# 2
The following is a DFT calculation (PBE-GGA) of a relaxed AcTbPr3Tm crystal.

```
AcTbPr3Tm
1.0
8.2426 0.0000 0.0000
0.0000 5.2543 0.0000
-3.3744 0.0000 9.9359
Ac Tb Pr Tm
2 2 6 2
Cartesian
0.4372 1.3136 2.9194 Ac
4.4310 3.9407 7.0164 Ac
1.1397 3.9407 8.7079 Tb
3.7285 1.3136 1.2279 Tb
-1.2384 1.3136 7.8797 Pr
1.2978 3.9407 0.4013 Pr
-0.4115 3.9407 5.4334 Pr
5.2797 1.3136 4.5025 Pr
3.5705 1.3136 9.5345 Pr
6.1067 3.9407 2.0562 Pr
1.9868 1.3136 6.2353 Tm
2.8814 3.9407 3.7006 Tm
```

Values from the calculation:
Calculated volume: 430.3 Å³ per cell
Symmetry: P2_1/m, No. 11
E: -4.5511 eV per atom


# 3
The following is a DFT calculation (PBE-GGA) of a relaxed Ac2TbPrTm crystal.

```
Ac2TbPrTm
1.0
6.4652 0.0000 0.0000
0.0000 8.9768 0.0000
0.0000 0.0000 6.7105
Ac Tb Pr Tm
4 2 2 2
Cartesian
1.6163 1.8291 1.4405 Ac
1.6163 7.1476 1.4405 Ac
4.8489 1.8291 5.2699 Ac
4.8489 7.1476 5.2699 Ac
1.6163 0.0000 4.6101 Tb
4.8489 0.0000 2.1003 Tb
1.6163 4.4884 6.1668 Pr
4.8489 4.4884 0.5436 Pr
0.0000 4.4884 3.3552 Tm
3.2326 4.4884 3.3552 Tm
```

Values from the calculation:
Calculated volume: 389.4 Å³ per cell
Symmetry: Pmma, No. 51
E: -4.1574 eV per atom


# 4
The following is a DFT calculation (PBE-GGA) of a relaxed Ac2TbPr4Tm crystal.

```
Ac2TbPr4Tm
1.0
6.3903 0.0000 0.0000
0.0000 3.7616 0.0000
-2.2532 0.0000 12.2530
Ac Tb Pr Tm
2 1 4 1
Cartesian
0.0000 0.0000 0.0000 Ac
-1.1266 1.8808 6.1265 Ac
2.0686 0.0000 6.1265 Tb
1.0571 1.8808 3.0940 Pr
-0.0676 0.0000 9.2425 Pr
4.2047 0.0000 3.0105 Pr
3.0800 1.8808 9.1590 Pr
3.1952 1.8808 0.0000 Tm
```

Values from the calculation:
Calculated volume: 294.5 Å³ per cell
Symmetry: P2/m, No. 10
E: -4.5185 eV per atom


# 5
The following is a DFT calculation (PBE-GGA) of a relaxed AcTb5Pr2Tm crystal.

```
AcTb5Pr2Tm
1.0
-4.4339 4.4339 7.8820
4.4339 -4.4339 7.8820
4.4339 4.4339 -7.8820
Ac Tb Pr Tm
2 10 4 2
Cartesian
0.0000 0.0000 3.9410 Ac
0.0000 0.0000 11.8229 Ac
0.0000 0.0000 0.0000 Tb
6.2703 1.8365 -2.1227 Tb
1.8365 2.5974 -2.1227 Tb
6.2703 1.8365 2.1227 Tb
1.8365 2.5974 2.1227 Tb
0.0000 0.0000 7.8820 Tb
2.5974 1.8365 5.7593 Tb
-1.8365 2.5974 5.7593 Tb
2.5974 1.8365 10.0046 Tb
-1.8365 2.5974 10.0046 Tb
3.3899 1.0440 0.0000 Pr
3.3899 -1.0440 7.8820 Pr
1.0440 5.4779 0.0000 Pr
1.0440 3.3899 7.8820 Pr
4.4339 0.0000 3.9410 Tm
0.0000 4.4339 3.9410 Tm
```

Values from the calculation:
Calculated volume: 619.8 Å³ per cell
Symmetry: I4/mcm, No. 140
E: -4.3264 eV per atom


# 6
The following is a DFT calculation (PBE-GGA) of a relaxed AcTbPrY2 crystal.

```
AcTbPrY2
1.0
3.2942 -8.7896 0.0000
3.2942 8.7896 0.0000
0.0000 0.0000 6.4970
Ac Tb Pr Y
2 2 2 4
Cartesian
3.2942 6.0027 4.8727 Ac
3.2942 -6.0027 1.6242 Ac
3.2942 3.9879 1.6242 Tb
3.2942 -3.9879 4.8727 Tb
3.2942 2.7053 4.8727 Pr
3.2942 -2.7053 1.6242 Pr
1.6825 0.0000 0.0000 Y
1.6825 0.0000 3.2485 Y
4.9059 0.0000 0.0000 Y
4.9059 0.0000 3.2485 Y
```

Values from the calculation:
Calculated volume: 376.2 Å³ per cell
Symmetry: Cmcm, No. 63
E: -4.9089 eV per atom


# 7
The following is a DFT calculation (PBE-GGA) of a relaxed AcTb2PrY2 crystal.

```
AcTb2PrY2
1.0
7.1359 0.0000 0.0000
0.0000 10.0511 0.0000
0.0000 0.0000 5.7945
Ac Tb Pr Y
2 4 2 4
Cartesian
0.0000 0.0000 0.0000 Ac
3.5680 5.0255 2.8972 Ac
1.7701 3.3520 0.0000 Tb
1.7978 8.3775 2.8972 Tb
5.3381 1.6736 2.8972 Tb
5.3658 6.6991 0.0000 Tb
0.0000 5.0255 2.8972 Pr
3.5680 0.0000 0.0000 Pr
1.7792 6.7042 0.0000 Y
1.7888 1.6787 2.8972 Y
5.3472 8.3724 2.8972 Y
5.3567 3.3468 0.0000 Y
```

Values from the calculation:
Calculated volume: 415.6 Å³ per cell
Symmetry: Pnnm, No. 58
E: -5.1074 eV per atom


# 8
The following is a DFT calculation (PBE-GGA) of a relaxed AcTb2PrY5 crystal.

```
AcTb2PrY5
1.0
2.8108 -11.9010 0.0000
2.8108 11.9010 0.0000
0.0000 0.0000 9.4586
Ac Tb Pr Y
2 4 2 10
Cartesian
2.8108 9.4676 4.7293 Ac
2.8108 -9.4676 0.0000 Ac
2.8108 3.9738 7.0583 Tb
2.8108 2.6788 3.3912 Tb
2.8108 -2.6788 8.1205 Tb
2.8108 -3.9738 2.3290 Tb
2.8108 5.6552 1.0084 Pr
2.8108 -5.6552 5.7377 Pr
2.8108 11.3163 7.7439 Y
2.8108 9.4685 0.9694 Y
2.8108 7.3790 7.5667 Y
2.8108 6.1294 4.1050 Y
2.8108 0.1472 5.5984 Y
2.8108 -0.1472 0.8691 Y
2.8108 -6.1294 8.8343 Y
2.8108 -7.3790 2.8374 Y
2.8108 -9.4685 5.6986 Y
2.8108 -11.3163 3.0146 Y
```

Values from the calculation:
Calculated volume: 632.8 Å³ per cell
Symmetry: Cmc2_1, No. 36
E: -5.4507 eV per atom


# 9
The following is a DFT calculation (PBE-GGA) of a relaxed Ac5TbPr2Y crystal.

```
Ac5TbPr2Y
1.0
2.9260 -11.3823 0.0000
2.9260 11.3823 0.0000
0.0000 0.0000 11.0924
Ac Tb Pr Y
10 2 4 2
Cartesian
0.0000 0.0000 0.0000 Ac
0.0000 0.0000 5.5462 Ac
2.9260 8.4079 8.3193 Ac
2.9260 6.3991 0.7071 Ac
2.9260 6.3991 4.8391 Ac
2.9260 0.0702 8.3193 Ac
2.9260 -0.0702 2.7731 Ac
2.9260 -6.3991 6.2533 Ac
2.9260 -6.3991 10.3853 Ac
2.9260 -8.4079 2.7731 Ac
2.9260 4.4741 8.3193 Tb
2.9260 -4.4741 2.7731 Tb
2.9260 2.5947 0.0927 Pr
2.9260 2.5947 5.4535 Pr
2.9260 -2.5947 5.6389 Pr
2.9260 -2.5947 10.9997 Pr
2.9260 9.1233 2.7731 Y
2.9260 -9.1233 8.3193 Y
```

Values from the calculation:
Calculated volume: 738.8 Å³ per cell
Symmetry: Cmcm, No. 63
E: -4.4480 eV per atom


# 10
The following is a DFT calculation (PBE-GGA) of a relaxed Ac2Tb2Pr4Y crystal.

```
Ac2Tb2Pr4Y
1.0
9.6623 -1.8721 0.0000
9.6623 1.8721 0.0000
-0.0418 0.0000 9.1429
Ac Tb Pr Y
2 2 4 1
Cartesian
2.1282 0.0000 1.5745 Ac
17.1545 0.0000 7.5684 Ac
6.3976 0.0000 4.5414 Tb
12.8851 0.0000 4.6016 Tb
4.2314 0.0000 7.5577 Pr
8.5322 0.0000 1.6215 Pr
10.7505 0.0000 7.5214 Pr
15.0513 0.0000 1.5853 Pr
-0.0209 0.0000 4.5715 Y
```

Values from the calculation:
Calculated volume: 330.8 Å³ per cell
Symmetry: C2/m, No. 12
E: -4.7487 eV per atom


# 11
The following is a DFT calculation (PBE-GGA) of a relaxed Ac2TbPr3Y6 crystal.

```
Ac2TbPr3Y6
1.0
3.1965 -5.5351 0.0000
3.1965 5.5351 0.0000
-2.1271 0.0000 11.8296
Ac Tb Pr Y
2 1 3 6
Cartesian
3.1965 3.6918 0.0000 Ac
3.1965 -3.6918 0.0000 Ac
3.1965 0.0000 0.0000 Tb
-1.0636 0.0000 5.9148 Pr
2.1329 1.8469 5.9148 Pr
2.1329 -1.8469 5.9148 Pr
0.0133 1.8316 8.8361 Y
1.0798 0.0000 2.9959 Y
0.0133 -1.8316 8.8361 Y
4.2525 1.8316 2.9935 Y
3.1860 0.0000 8.8337 Y
4.2525 -1.8316 2.9935 Y
```

Values from the calculation:
Calculated volume: 418.6 Å³ per cell
Symmetry: C2/m, No. 12
E: -5.4735 eV per atom


# 12
The following is a DFT calculation (PBE-GGA) of a relaxed Ac2TbPrY crystal.

```
Ac2TbPrY
1.0
6.4909 0.0000 0.0000
0.0000 8.9932 0.0000
0.0000 0.0000 6.7541
Ac Tb Pr Y
4 2 2 2
Cartesian
1.6227 1.8210 1.4181 Ac
1.6227 7.1722 1.4181 Ac
4.8682 1.8210 5.3361 Ac
4.8682 7.1722 5.3361 Ac
0.0000 4.4966 3.3771 Tb
3.2454 4.4966 3.3771 Tb
1.6227 4.4966 6.2068 Pr
4.8682 4.4966 0.5474 Pr
1.6227 0.0000 4.6042 Y
4.8682 0.0000 2.1500 Y
```

Values from the calculation:
Calculated volume: 394.3 Å³ per cell
Symmetry: Pmma, No. 51
E: -4.5545 eV per atom


# 13
The following is a DFT calculation (PBE-GGA) of a relaxed AcTb5Pr2Y crystal.

```
AcTb5Pr2Y
1.0
-4.4484 4.4484 7.8936
4.4484 -4.4484 7.8936
4.4484 4.4484 -7.8936
Ac Tb Pr Y
2 10 4 2
Cartesian
0.0000 0.0000 3.9468 Ac
0.0000 0.0000 11.8404 Ac
0.0000 0.0000 0.0000 Tb
6.2974 1.8489 -2.1163 Tb
1.8489 2.5995 -2.1163 Tb
6.2974 1.8489 2.1163 Tb
1.8489 2.5995 2.1163 Tb
0.0000 0.0000 7.8936 Tb
2.5995 1.8489 5.7773 Tb
-1.8489 2.5995 5.7773 Tb
2.5995 1.8489 10.0099 Tb
-1.8489 2.5995 10.0099 Tb
3.4030 1.0454 0.0000 Pr
3.4030 -1.0454 7.8936 Pr
1.0454 5.4939 0.0000 Pr
1.0454 3.4030 7.8936 Pr
4.4484 0.0000 3.9468 Y
0.0000 4.4484 3.9468 Y
```

Values from the calculation:
Calculated volume: 624.8 Å³ per cell
Symmetry: I4/mcm, No. 140
E: -4.5557 eV per atom


# 14
The following is a DFT calculation (PBE-GGA) of a relaxed AcTb2Pr6Y crystal.

```
AcTb2Pr6Y
1.0
4.7161 -7.8177 0.0000
4.7161 7.8177 0.0000
-1.1368 0.0000 9.8432
Ac Tb Pr Y
2 4 12 2
Cartesian
3.8635 7.4080 7.3824 Ac
4.4319 -7.4080 2.4608 Ac
1.8005 0.8372 5.3746 Tb
2.3689 -0.8372 0.4530 Tb
5.9265 0.8372 9.3903 Tb
6.4949 -0.8372 4.4687 Tb
1.9022 4.2693 6.7291 Pr
4.0601 4.9380 0.5236 Pr
4.8037 4.9380 4.3980 Pr
2.7684 1.6801 8.6701 Pr
5.8248 4.2693 8.0357 Pr
4.9587 1.6801 6.0948 Pr
3.3368 -1.6801 3.7485 Pr
2.4706 -4.2693 1.8075 Pr
5.5271 -1.6801 1.1731 Pr
3.4917 -4.9380 5.4452 Pr
4.2353 -4.9380 9.3196 Pr
6.3932 -4.2693 3.1141 Pr
4.4319 1.3905 2.4608 Y
3.8635 -1.3905 7.3824 Y
```

Values from the calculation:
Calculated volume: 725.8 Å³ per cell
Symmetry: C2/c, No. 15
E: -4.7382 eV per atom


# 15
The following is a DFT calculation (PBE-GGA) of a relaxed AcTb2Pr5Y crystal.

```
AcTb2Pr5Y
1.0
2.8172 -12.2835 0.0000
2.8172 12.2835 0.0000
0.0000 0.0000 9.6122
Ac Tb Pr Y
2 4 10 2
Cartesian
2.8172 9.7648 4.8061 Ac
2.8172 -9.7648 0.0000 Ac
2.8172 4.2646 2.4229 Tb
2.8172 2.7518 6.1480 Tb
2.8172 -2.7518 1.3419 Tb
2.8172 -4.2646 7.2290 Tb
2.8172 11.6836 1.6497 Pr
2.8172 9.6668 8.5855 Pr
2.8172 7.6341 1.9579 Pr
2.8172 6.3596 5.4661 Pr
2.8172 0.2205 3.7445 Pr
2.8172 -0.2205 8.5506 Pr
2.8172 -6.3596 0.6600 Pr
2.8172 -7.6341 6.7640 Pr
2.8172 -9.6668 3.7794 Pr
2.8172 -11.6836 6.4558 Pr
2.8172 5.7562 8.5942 Y
2.8172 -5.7562 3.7881 Y
```

Values from the calculation:
Calculated volume: 665.3 Å³ per cell
Symmetry: Cmc2_1, No. 36
E: -4.7186 eV per atom


# 16
The following is a DFT calculation (PBE-GGA) of a relaxed AcTbPr2Y crystal.

```
AcTbPr2Y
1.0
6.5245 0.0000 0.0000
0.0000 5.9522 0.0000
-3.2495 0.0000 9.4110
Ac Tb Pr Y
2 2 4 2
Cartesian
0.5380 1.4880 2.8119 Ac
2.7370 4.4641 6.5991 Ac
-2.6691 1.4880 8.4767 Tb
5.9441 4.4641 0.9343 Tb
-0.5669 4.4641 8.5233 Pr
0.5236 1.4880 6.5996 Pr
2.7514 4.4641 2.8114 Pr
3.8419 1.4880 0.8877 Pr
-0.5784 4.4641 4.7084 Y
3.8533 1.4880 4.7026 Y
```

Values from the calculation:
Calculated volume: 365.5 Å³ per cell
Symmetry: P2_1/m, No. 11
E: -4.9130 eV per atom


# 17
The following is a DFT calculation (PBE-GGA) of a relaxed AcTb3PrY crystal.

```
AcTb3PrY
1.0
10.2041 -2.8882 0.0000
10.2041 2.8882 0.0000
-0.0383 0.0000 7.2180
Ac Tb Pr Y
2 6 2 2
Cartesian
2.9776 0.0000 0.2691 Ac
17.3922 0.0000 6.9488 Ac
0.3896 0.0000 5.3067 Tb
5.7022 0.0000 5.3374 Tb
6.9101 0.0000 1.8720 Tb
13.4598 0.0000 5.3460 Tb
14.6676 0.0000 1.8805 Tb
19.9803 0.0000 1.9113 Tb
2.9707 0.0000 3.4646 Pr
17.3992 0.0000 3.7534 Pr
9.0539 0.0000 5.1492 Y
11.3159 0.0000 2.0688 Y
```

Values from the calculation:
Calculated volume: 425.4 Å³ per cell
Symmetry: C2/m, No. 12
E: -4.6316 eV per atom


# 18
The following is a DFT calculation (PBE-GGA) of a relaxed Ac2TbPrY5 crystal.

```
Ac2TbPrY5
1.0
2.9142 -10.1187 0.0000
2.9142 10.1187 0.0000
0.0000 0.0000 10.9564
Ac Tb Pr Y
4 2 2 10
Cartesian
2.9142 7.8284 5.4782 Ac
2.9142 7.7860 0.9664 Ac
2.9142 -7.7860 6.4446 Ac
2.9142 -7.8284 0.0000 Ac
2.9142 5.9902 8.5609 Tb
2.9142 -5.9902 3.0827 Tb
2.9142 1.6929 2.5194 Pr
2.9142 -1.6929 7.9976 Pr
2.9142 9.7367 8.6986 Y
2.9142 4.3854 0.8907 Y
2.9142 4.0987 5.2151 Y
2.9142 2.2693 8.6514 Y
2.9142 0.3834 5.5499 Y
2.9142 -0.3834 0.0717 Y
2.9142 -2.2693 3.1732 Y
2.9142 -4.0987 10.6933 Y
2.9142 -4.3854 6.3689 Y
2.9142 -9.7367 3.2204 Y
```

Values from the calculation:
Calculated volume: 646.2 Å³ per cell
Symmetry: Cmc2_1, No. 36
E: -5.3959 eV per atom


# 19
The following is a DFT calculation (PBE-GGA) of a relaxed Ac2Tb5PrY crystal.

```
Ac2Tb5PrY
1.0
2.9075 -10.0657 0.0000
2.9075 10.0657 0.0000
0.0000 0.0000 11.0032
Ac Tb Pr Y
4 10 2 2
Cartesian
2.9075 7.7988 5.5016 Ac
2.9075 7.7253 0.9896 Ac
2.9075 -7.7253 6.4912 Ac
2.9075 -7.7988 0.0000 Ac
2.9075 9.6662 8.7576 Tb
2.9075 4.3355 0.8494 Tb
2.9075 4.0750 5.2508 Tb
2.9075 2.1812 8.6991 Tb
2.9075 0.3893 5.5942 Tb
2.9075 -0.3893 0.0926 Tb
2.9075 -2.1812 3.1975 Tb
2.9075 -4.0750 10.7524 Tb
2.9075 -4.3355 6.3510 Tb
2.9075 -9.6662 3.2560 Tb
2.9075 1.7051 2.5520 Pr
2.9075 -1.7051 8.0536 Pr
2.9075 5.9001 8.5875 Y
2.9075 -5.9001 3.0859 Y
```

Values from the calculation:
Calculated volume: 644.0 Å³ per cell
Symmetry: Cmc2_1, No. 36
E: -4.5836 eV per atom